No. 1
{"formula": "Cd5Sn2Sb", "functional": "PBE", "state": "relaxed", "sg": "P4/mmm, No. 123", "energy_ev_per_atom": -1.9566, "cell": [[4.8078, 0.0000, 0.0000], [0.0000, 4.8078, 0.0000], [0.0000, 0.0000, 10.2595]], "species": ["Cd", "Cd", "Cd", "Cd", "Cd", "Sn", "Sn", "Sb"], "frac_coords": [[0.0000, 0.0000, 0.0000], [0.0000, 0.5000, 0.2083], [0.0000, 0.5000, 0.7917], [0.5000, 0.0000, 0.2083], [0.5000, 0.0000, 0.7917], [0.0000, 0.0000, 0.3623], [0.0000, 0.0000, 0.6377], [0.5000, 0.5000, 0.0000]]}


No. 2
{"formula": "ZnCdSn2Sb4", "functional": "PBE", "state": "relaxed", "sg": "I-4, No. 82", "energy_ev_per_atom": -3.3856, "cell": [[6.4799, 0.0000, 0.0000], [0.0000, 6.4799, 0.0000], [0.0000, 0.0000, 12.9712]], "species": ["Zn", "Zn", "Cd", "Cd", "Sn", "Sn", "Sn", "Sn", "Sb", "Sb", "Sb", "Sb", "Sb", "Sb", "Sb", "Sb"], "frac_coords": [[0.0000, 0.0000, 0.0000], [0.5000, 0.5000, 0.5000], [0.0000, 0.5000, 0.2500], [0.5000, 0.0000, 0.7500], [0.0000, 0.0000, 0.5000], [0.0000, 0.5000, 0.7500], [0.5000, 0.0000, 0.2500], [0.5000, 0.5000, 0.0000], [0.2355, 0.2391, 0.1207], [0.2391, 0.7645, 0.8793], [0.2609, 0.7355, 0.3793], [0.2645, 0.2609, 0.6207], [0.7355, 0.7391, 0.6207], [0.7391, 0.2645, 0.3793], [0.7609, 0.2355, 0.8793], [0.7645, 0.7609, 0.1207]]}


No. 3
{"formula": "SrCdSb", "functional": "PBE", "state": "relaxed", "sg": "F-43m, No. 216", "de_polymorph_ev_per_atom": 0.168, "cell": [[7.5389, 0.0000, 0.0000], [0.0000, 7.5389, 0.0000], [0.0000, 0.0000, 7.5389]], "species": ["Sr", "Sr", "Sr", "Sr", "Cd", "Cd", "Cd", "Cd", "Sb", "Sb", "Sb", "Sb"], "frac_coords": [[0.0000, 0.0000, 0.0000], [0.0000, 0.5000, 0.5000], [0.5000, 0.0000, 0.5000], [0.5000, 0.5000, 0.0000], [0.2500, 0.2500, 0.7500], [0.2500, 0.7500, 0.2500], [0.7500, 0.2500, 0.2500], [0.7500, 0.7500, 0.7500], [0.2500, 0.2500, 0.2500], [0.2500, 0.7500, 0.7500], [0.7500, 0.2500, 0.7500], [0.7500, 0.7500, 0.2500]]}


No. 4
{"formula": "SrCdSb2", "functional": "PBE", "state": "relaxed", "sg": "F-43m, No. 216", "energy_ev_per_atom": -2.9421, "cell": [[7.7869, 0.0000, 0.0000], [0.0000, 7.7869, 0.0000], [0.0000, 0.0000, 7.7869]], "species": ["Sr", "Sr", "Sr", "Sr", "Cd", "Cd", "Cd", "Cd", "Sb", "Sb", "Sb", "Sb", "Sb", "Sb", "Sb", "Sb"], "frac_coords": [[0.0000, 0.0000, 0.0000], [0.0000, 0.5000, 0.5000], [0.5000, 0.0000, 0.5000], [0.5000, 0.5000, 0.0000], [0.2500, 0.2500, 0.2500], [0.2500, 0.7500, 0.7500], [0.7500, 0.2500, 0.7500], [0.7500, 0.7500, 0.2500], [0.0000, 0.0000, 0.5000], [0.0000, 0.5000, 0.0000], [0.2500, 0.2500, 0.7500], [0.2500, 0.7500, 0.2500], [0.5000, 0.0000, 0.0000], [0.5000, 0.5000, 0.5000], [0.7500, 0.2500, 0.2500], [0.7500, 0.7500, 0.7500]]}


No. 5
{"formula": "TaCdSb", "functional": "PBE", "state": "relaxed", "sg": "F-43m, No. 216", "de_polymorph_ev_per_atom": 0.215, "cell": [[6.6340, 0.0000, 0.0000], [0.0000, 6.6340, 0.0000], [0.0000, 0.0000, 6.6340]], "species": ["Ta", "Ta", "Ta", "Ta", "Cd", "Cd", "Cd", "Cd", "Sb", "Sb", "Sb", "Sb"], "frac_coords": [[0.0000, 0.0000, 0.0000], [0.0000, 0.5000, 0.5000], [0.5000, 0.0000, 0.5000], [0.5000, 0.5000, 0.0000], [0.0000, 0.0000, 0.5000], [0.0000, 0.5000, 0.0000], [0.5000, 0.0000, 0.0000], [0.5000, 0.5000, 0.5000], [0.2500, 0.2500, 0.2500], [0.2500, 0.7500, 0.7500], [0.7500, 0.2500, 0.7500], [0.7500, 0.7500, 0.2500]]}


No. 6
{"formula": "Ta2CdSb", "functional": "PBE", "state": "relaxed", "sg": "F-43m, No. 216", "energy_ev_per_atom": -6.5859, "cell": [[6.8446, 0.0000, 0.0000], [0.0000, 6.8446, 0.0000], [0.0000, 0.0000, 6.8446]], "species": ["Ta", "Ta", "Ta", "Ta", "Ta", "Ta", "Ta", "Ta", "Cd", "Cd", "Cd", "Cd", "Sb", "Sb", "Sb", "Sb"], "frac_coords": [[0.0000, 0.0000, 0.0000], [0.0000, 0.5000, 0.5000], [0.2500, 0.2500, 0.2500], [0.2500, 0.7500, 0.7500], [0.5000, 0.0000, 0.5000], [0.5000, 0.5000, 0.0000], [0.7500, 0.2500, 0.7500], [0.7500, 0.7500, 0.2500], [0.2500, 0.2500, 0.7500], [0.2500, 0.7500, 0.2500], [0.7500, 0.2500, 0.2500], [0.7500, 0.7500, 0.7500], [0.0000, 0.0000, 0.5000], [0.0000, 0.5000, 0.0000], [0.5000, 0.0000, 0.0000], [0.5000, 0.5000, 0.5000]]}


No. 7
{"formula": "TaCdSb2", "functional": "PBE", "state": "relaxed", "sg": "F-43m, No. 216", "energy_ev_per_atom": -4.5775, "cell": [[7.1592, 0.0000, 0.0000], [0.0000, 7.1592, 0.0000], [0.0000, 0.0000, 7.1592]], "species": ["Ta", "Ta", "Ta", "Ta", "Cd", "Cd", "Cd", "Cd", "Sb", "Sb", "Sb", "Sb", "Sb", "Sb", "Sb", "Sb"], "frac_coords": [[0.0000, 0.0000, 0.0000], [0.0000, 0.5000, 0.5000], [0.5000, 0.0000, 0.5000], [0.5000, 0.5000, 0.0000], [0.2500, 0.2500, 0.2500], [0.2500, 0.7500, 0.7500], [0.7500, 0.2500, 0.7500], [0.7500, 0.7500, 0.2500], [0.0000, 0.0000, 0.5000], [0.0000, 0.5000, 0.0000], [0.2500, 0.2500, 0.7500], [0.2500, 0.7500, 0.2500], [0.5000, 0.0000, 0.0000], [0.5000, 0.5000, 0.5000], [0.7500, 0.2500, 0.2500], [0.7500, 0.7500, 0.7500]]}


No. 8
{"formula": "Cd2TcSb", "functional": "PBE", "state": "relaxed", "sg": "F-43m, No. 216", "energy_ev_per_atom": -3.5507, "cell": [[6.8163, 0.0000, 0.0000], [0.0000, 6.8163, 0.0000], [0.0000, 0.0000, 6.8163]], "species": ["Cd", "Cd", "Cd", "Cd", "Cd", "Cd", "Cd", "Cd", "Tc", "Tc", "Tc", "Tc", "Sb", "Sb", "Sb", "Sb"], "frac_coords": [[0.0000, 0.0000, 0.0000], [0.0000, 0.5000, 0.5000], [0.2500, 0.2500, 0.2500], [0.2500, 0.7500, 0.7500], [0.5000, 0.0000, 0.5000], [0.5000, 0.5000, 0.0000], [0.7500, 0.2500, 0.7500], [0.7500, 0.7500, 0.2500], [0.2500, 0.2500, 0.7500], [0.2500, 0.7500, 0.2500], [0.7500, 0.2500, 0.2500], [0.7500, 0.7500, 0.7500], [0.0000, 0.0000, 0.5000], [0.0000, 0.5000, 0.0000], [0.5000, 0.0000, 0.0000], [0.5000, 0.5000, 0.5000]]}


No. 9
{"formula": "CdSbTe", "functional": "PBE", "state": "relaxed", "sg": "Pnma, No. 62", "de_polymorph_ev_per_atom": 0.000, "cell": [[8.2924, 0.0000, 0.0000], [0.0000, 4.2626, 0.0000], [0.0000, 0.0000, 10.0370]], "species": ["Cd", "Cd", "Cd", "Cd", "Sb", "Sb", "Sb", "Sb", "Te", "Te", "Te", "Te"], "frac_coords": [[0.1505, 0.2500, 0.1597], [0.3495, 0.7500, 0.6597], [0.6505, 0.2500, 0.3403], [0.8495, 0.7500, 0.8403], [0.1267, 0.2500, 0.5190], [0.3733, 0.7500, 0.0190], [0.6267, 0.2500, 0.9810], [0.8733, 0.7500, 0.4810], [0.0976, 0.2500, 0.8070], [0.4024, 0.7500, 0.3070], [0.5976, 0.2500, 0.6930], [0.9024, 0.7500, 0.1930]]}


No. 10
{"formula": "CdSb2Te", "functional": "PBE", "state": "relaxed", "sg": "F-43m, No. 216", "energy_ev_per_atom": -2.8901, "cell": [[7.5433, 0.0000, 0.0000], [0.0000, 7.5433, 0.0000], [0.0000, 0.0000, 7.5433]], "species": ["Cd", "Cd", "Cd", "Cd", "Sb", "Sb", "Sb", "Sb", "Sb", "Sb", "Sb", "Sb", "Te", "Te", "Te", "Te"], "frac_coords": [[0.0000, 0.0000, 0.0000], [0.0000, 0.5000, 0.5000], [0.5000, 0.0000, 0.5000], [0.5000, 0.5000, 0.0000], [0.0000, 0.0000, 0.5000], [0.0000, 0.5000, 0.0000], [0.2500, 0.2500, 0.2500], [0.2500, 0.7500, 0.7500], [0.5000, 0.0000, 0.0000], [0.5000, 0.5000, 0.5000], [0.7500, 0.2500, 0.7500], [0.7500, 0.7500, 0.2500], [0.2500, 0.2500, 0.7500], [0.2500, 0.7500, 0.2500], [0.7500, 0.2500, 0.2500], [0.7500, 0.7500, 0.7500]]}


No. 11
{"formula": "CdSbTe", "functional": "PBE", "state": "relaxed", "sg": "F-43m, No. 216", "de_polymorph_ev_per_atom": 0.252, "cell": [[7.3008, 0.0000, 0.0000], [0.0000, 7.3008, 0.0000], [0.0000, 0.0000, 7.3008]], "species": ["Cd", "Cd", "Cd", "Cd", "Sb", "Sb", "Sb", "Sb", "Te", "Te", "Te", "Te"], "frac_coords": [[0.0000, 0.0000, 0.0000], [0.0000, 0.5000, 0.5000], [0.5000, 0.0000, 0.5000], [0.5000, 0.5000, 0.0000], [0.2500, 0.2500, 0.2500], [0.2500, 0.7500, 0.7500], [0.7500, 0.2500, 0.7500], [0.7500, 0.7500, 0.2500], [0.0000, 0.0000, 0.5000], [0.0000, 0.5000, 0.0000], [0.5000, 0.0000, 0.0000], [0.5000, 0.5000, 0.5000]]}


No. 12
{"formula": "CdSbTe", "functional": "PBE", "state": "relaxed", "sg": "Pnma, No. 62", "de_polymorph_ev_per_atom": 0.124, "cell": [[8.0696, 0.0000, 0.0000], [0.0000, 4.1811, 0.0000], [0.0000, 0.0000, 10.2294]], "species": ["Cd", "Cd", "Cd", "Cd", "Sb", "Sb", "Sb", "Sb", "Te", "Te", "Te", "Te"], "frac_coords": [[0.1185, 0.2500, 0.1702], [0.3815, 0.7500, 0.6702], [0.6185, 0.2500, 0.3298], [0.8815, 0.7500, 0.8298], [0.1460, 0.2500, 0.8126], [0.3540, 0.7500, 0.3126], [0.6460, 0.2500, 0.6874], [0.8540, 0.7500, 0.1874], [0.1535, 0.2500, 0.5285], [0.3465, 0.7500, 0.0285], [0.6535, 0.2500, 0.9715], [0.8465, 0.7500, 0.4715]]}


No. 13
{"formula": "TlCdSb", "functional": "PBE", "state": "relaxed", "sg": "Pnma, No. 62", "de_polymorph_ev_per_atom": 0.161, "cell": [[7.3993, 0.0000, 0.0000], [0.0000, 4.6124, 0.0000], [0.0000, 0.0000, 9.9384]], "species": ["Tl", "Tl", "Tl", "Tl", "Cd", "Cd", "Cd", "Cd", "Sb", "Sb", "Sb", "Sb"], "frac_coords": [[0.1561, 0.2500, 0.0465], [0.3439, 0.7500, 0.5465], [0.6561, 0.2500, 0.4535], [0.8439, 0.7500, 0.9535], [0.1222, 0.2500, 0.7191], [0.3778, 0.7500, 0.2191], [0.6222, 0.2500, 0.7809], [0.8778, 0.7500, 0.2809], [0.1158, 0.2500, 0.3689], [0.3842, 0.7500, 0.8689], [0.6158, 0.2500, 0.1311], [0.8842, 0.7500, 0.6311]]}